This record from Alexandria describes an optimized crystal structure of TmTlPb. The functional is PBE-GGA.

Values from the calculation:
distance to the lowest polymorph of the same formula	164.3	meV per atom
space group	F-43m, No. 216
energy relative to the elements	-0.09	eV per atom
ρ	9.91	g/cm3
total DFT energy (no corrections)	-10.8	eV per cell

CIF file:
```
data_TmTlPb
_chemical_formula_sum 'Tm1 Tl1 Pb1'
_space_group_name_H-M_alt 'P 1'
_space_group_IT_number 1
_space_group_name_Hall 'P 1'
_cell_length_a 5.162
_cell_length_b 5.162
_cell_length_c 5.162
_cell_angle_alpha 60.00
_cell_angle_beta 60.00
_cell_angle_gamma 60.00
loop_
_atom_site_label
_atom_site_type_symbol
_atom_site_fract_x
_atom_site_fract_y
_atom_site_fract_z
_atom_site_occupancy
Tm1 Tm 0.000 0.000 0.000 1
Tl1 Tl 0.750 0.750 0.750 1
Pb1 Pb 0.250 0.250 0.250 1
```